Here is a relaxed structure of Ti5Co2Pd2Ru from the Alexandria database. Energies are from PBE-GGA.

Computed properties:
ΔE_f in eV/atom: -0.3456
Crystal system: tetragonal

Unit cell a=3.0167 b=10.0344 c=10.0344 alpha=90.00 beta=90.00 gamma=90.00
Closest atoms and distances in Å follow each position.
Atoms (fractional coordinates):
Ru: 0.0000 0.5000 0.5000  8 Ti 2.61
Ru: 0.0000 0.0000 0.0000  8 Ti 2.61
Ti: 0.5000 0.6956 0.4184  2 Co 2.37, 2 Ru 2.61
Ti: 0.5000 0.1956 0.0816  2 Co 2.37, 2 Ru 2.61
Ti: 0.5000 0.0000 0.5000  4 Co 2.37
Ti: 0.5000 0.9184 0.1956  2 Co 2.37, 2 Ru 2.61
Ti: 0.5000 0.4184 0.3044  2 Co 2.37, 2 Ru 2.61
Ti: 0.5000 0.5000 0.0000  4 Co 2.37
Ti: 0.5000 0.3044 0.5816  2 Co 2.37, 2 Ru 2.61
Ti: 0.5000 0.8044 0.9184  2 Co 2.37, 2 Ru 2.61
Ti: 0.5000 0.5816 0.6956  2 Co 2.37, 2 Ru 2.61
Ti: 0.5000 0.0816 0.8044  2 Co 2.37, 2 Ru 2.61
Pd: 0.0000 0.8317 0.6683  6 Ti 2.82-2.94, 3 Co 2.87-3.01, 2 Pd 3.02
Pd: 0.0000 0.3317 0.8317  6 Ti 2.82-2.94, 3 Co 2.87-3.01, 2 Pd 3.02
Pd: 0.0000 0.1683 0.3317  6 Ti 2.82-2.94, 3 Co 2.87-3.01, 2 Pd 3.02
Pd: 0.0000 0.6683 0.1683  6 Ti 2.82-2.94, 3 Co 2.87-3.01, 2 Pd 3.02
Co: 0.0000 0.1292 0.6292  6 Ti 2.37
Co: 0.0000 0.3708 0.1292  6 Ti 2.37
Co: 0.0000 0.6292 0.8708  6 Ti 2.37
Co: 0.0000 0.8708 0.3708  6 Ti 2.37